Crystalline Sm5Si2Bi at its relaxed geometry. Source: the Open Quantum Materials Database, functional PBE-GGA.

Symmetry: I4/mcm, No. 140

abc: 9.0161 9.0161 9.0161
angles: 127.69 127.69 77.13
With the nearest neighbours (Å) after each atom.
Sites, in units of the cell vectors:
Sm  0.0000  0.0000  0.0000  4 Si 3.08
Sm  0.0230  0.5230  0.8211  3 Si 2.98-3.07
Sm  0.2019  0.0230  0.5000  3 Si 2.98-3.07
Sm  0.2981  0.7981  0.8211  3 Si 2.98-3.07
Sm  0.4770  0.2981  0.5000  3 Si 2.98-3.07
Sm  0.5000  0.5000  0.0000  4 Si 3.08
Sm  0.5230  0.7019  0.5000  3 Si 2.98-3.07
Sm  0.7019  0.2019  0.1789  3 Si 2.98-3.07
Sm  0.7981  0.9770  0.5000  3 Si 2.98-3.07
Sm  0.9770  0.4770  0.1789  3 Si 2.98-3.07
Si  0.1386  0.3614  0.5000  8 Sm 2.98-3.08, 1 Si 3.12
Si  0.3614  0.8614  0.2228  8 Sm 2.98-3.08, 1 Si 3.12
Si  0.6386  0.1386  0.7772  8 Sm 2.98-3.08, 1 Si 3.12
Si  0.8614  0.6386  0.5000  8 Sm 2.98-3.08, 1 Si 3.12
Bi  0.2500  0.2500  0.0000  10 Sm 3.38-3.52
Bi  0.7500  0.7500  0.0000  10 Sm 3.38-3.52

Crystalline NaZrNO at its relaxed geometry. Source: the Open Quantum Materials Database, functional PBE-GGA.

Symmetry: P4/mmm, No. 123
Polymorph energy (0 for the lowest one), eV/f.u.: 0.36

abc: 3.2270 3.2270 4.4317
angles: 90.00 90.00 90.00
With the nearest neighbours (Å) after each atom.
Sites, in units of the cell vectors:
Na  0.0000  0.0000  0.0000  2 N 2.22, 4 O 2.28
Zr  0.5000  0.5000  0.5000  2 O 2.22, 4 N 2.28
N  0.0000  0.0000  0.5000  2 Na 2.22, 4 Zr 2.28
O  0.5000  0.5000  0.0000  2 Zr 2.22, 4 Na 2.28

Crystalline Dy2HoMg3Pt3 at its relaxed geometry. Source: the Open Quantum Materials Database, functional PBE-GGA.

Symmetry: Amm2, No. 38

abc: 4.0692 7.3381 7.3381
angles: 119.99 90.00 90.00
With the nearest neighbours (Å) after each atom.
Sites, in units of the cell vectors:
Dy  0.0000  0.2050  0.7950  5 Pt 3.01, 6 Mg 3.25-3.32
Dy  0.0000  0.7950  0.2050  5 Pt 3.01, 6 Mg 3.25-3.32
Ho  0.0000  0.6147  0.6147  5 Pt 3.00-3.01, 6 Mg 3.25-3.32
Mg  0.5000  0.2054  0.4502  4 Pt 2.71-2.83
Mg  0.5000  0.4502  0.2054  4 Pt 2.71-2.83
Mg  0.5000  0.9597  0.9597  4 Pt 2.72-2.82
Pt  0.0000  0.2056  0.2056  6 Mg 2.71-2.72, 1 Ho 3.00, 2 Dy 3.01
Pt  0.5000  0.5386  0.8710  3 Mg 2.82-2.83, 2 Ho 3.01, 4 Dy 3.01
Pt  0.5000  0.8710  0.5386  3 Mg 2.82-2.83, 2 Ho 3.01, 4 Dy 3.01

Crystalline ZnCdSO at its relaxed geometry. Source: the Open Quantum Materials Database, functional PBE-GGA.

Symmetry: Pca2_1, No. 29
Polymorph energy (0 for the lowest one), eV/f.u.: 0.43

abc: 6.0624 7.6235 5.6324
angles: 90.00 90.00 90.00
With the nearest neighbours (Å) after each atom.
Sites, in units of the cell vectors:
Zn  0.1401  0.0642  0.0000  3 O 1.97-2.04
Zn  0.3599  0.0642  0.5000  3 O 1.97-2.04
Zn  0.6401  0.9358  0.0000  3 O 1.97-2.04
Zn  0.8599  0.9358  0.5000  3 O 1.97-2.04
Cd  0.1319  0.6601  0.8587  1 O 2.27
Cd  0.3681  0.6601  0.3587  1 O 2.27
Cd  0.6319  0.3399  0.8587  1 O 2.27
Cd  0.8681  0.3399  0.3587  1 O 2.27
S  0.0629  0.3360  0.7696  1 Zn 2.49, 3 Cd 2.55-2.66
S  0.4371  0.3360  0.2696  1 Zn 2.49, 3 Cd 2.55-2.66
S  0.5629  0.6640  0.7696  1 Zn 2.49, 3 Cd 2.55-2.66
S  0.9371  0.6640  0.2696  1 Zn 2.49, 3 Cd 2.55-2.66
O  0.1296  0.9323  0.6943  3 Zn 1.97-2.04
O  0.3704  0.9323  0.1943  3 Zn 1.97-2.04
O  0.6296  0.0677  0.6943  3 Zn 1.97-2.04
O  0.8704  0.0677  0.1943  3 Zn 1.97-2.04

Crystalline Dy2GeAu at its relaxed geometry. Source: the Open Quantum Materials Database, functional PBE-GGA.

Symmetry: Amm2, No. 38

abc: 3.2460 6.6133 6.6133
angles: 51.11 90.00 90.00
With the nearest neighbours (Å) after each atom.
Sites, in units of the cell vectors:
Dy  0.0000  0.0000  0.0000  2 Ge 2.89, 1 Au 2.94
Dy  0.0000  0.2980  0.2980  1 Ge 2.88, 2 Au 2.90
Ge  0.0000  0.5392  0.5392  1 Au 2.56
Au  0.0000  0.7539  0.7539  1 Ge 2.56

Crystalline ScTaPd2 at its relaxed geometry. Source: the Open Quantum Materials Database, functional PBE-GGA.

Symmetry: F-43m, No. 216

abc: 4.5411 4.5411 4.5411
angles: 60.00 60.00 60.00
With the nearest neighbours (Å) after each atom.
Sites, in units of the cell vectors:
Sc  0.0000  0.0000  0.0000  4 Ta 2.78, 4 Pd 2.78
Ta  0.7500  0.7500  0.7500  4 Sc 2.78, 4 Pd 2.78
Pd  0.2500  0.2500  0.2500  4 Sc 2.78, 4 Pd 2.78
Pd  0.5000  0.5000  0.5000  4 Ta 2.78, 4 Pd 2.78

Number 1: uncorrected energy -5.481 eV/atom. Number 2: uncorrected energy -7.494 eV/atom. Number 3: uncorrected energy -5.033 eV/atom. Number 4: uncorrected energy -3.638 eV/atom. Number 5: uncorrected energy -4.270 eV/atom. Number 6: uncorrected energy -7.411 eV/atom.